[1]
CePuH (PBE, optimized geometry); raw total energy = -7.973 eV per atom
1.0
7.6828 0.0000 0.0000
0.0000 3.7796 0.0000
-1.6351 0.0000 6.8440
Ce Pu H
4 4 4
Direct
0.1928 0.2491 0.4231
0.1928 0.2509 0.9231
0.8072 0.7491 0.0769
0.8072 0.7509 0.5769
0.4102 0.5304 0.7275
0.4102 0.9696 0.2275
0.5898 0.0304 0.7725
0.5898 0.4696 0.2725
0.1342 0.7323 0.1597
0.1342 0.7677 0.6597
0.8658 0.2323 0.3403
0.8658 0.2677 0.8403

[2]
Ce2Pu3H8 (PBE, optimized geometry); raw total energy = -6.533 eV per atom
1.0
4.0414 -5.6684 0.0000
4.0414 5.6684 0.0000
0.0000 0.0000 3.8440
Ce Pu H
2 3 8
Direct
0.2430 0.7570 0.0000
0.7570 0.2430 0.0000
0.1943 0.1943 0.5000
0.5000 0.5000 0.0000
0.8057 0.8057 0.5000
0.1408 0.3806 0.0000
0.1414 0.8586 0.5000
0.3806 0.1408 0.0000
0.3893 0.6107 0.5000
0.6107 0.3893 0.5000
0.6194 0.8592 0.0000
0.8586 0.1414 0.5000
0.8592 0.6194 0.0000

[3]
CePuH5 (PBE, optimized geometry); raw total energy = -5.748 eV per atom
1.0
3.7649 0.0000 0.0000
0.0000 3.7649 0.0000
0.0000 0.0000 5.3948
Ce Pu H
1 1 5
Direct
0.0000 0.0000 0.0000
0.5000 0.5000 0.5000
0.0000 0.0000 0.5000
0.0000 0.5000 0.2453
0.0000 0.5000 0.7547
0.5000 0.0000 0.2453
0.5000 0.0000 0.7547

[4]
CePuH (PBE, optimized geometry); raw total energy = -7.950 eV per atom
1.0
3.5514 0.0000 0.0000
-1.7757 3.0756 0.0000
0.0000 0.0000 5.3797
Ce Pu H
1 1 1
Direct
0.0000 0.0000 0.0000
0.3333 0.6667 0.5068
0.6667 0.3333 0.2553